A plane-wave DFT calculation with PBE was carried out for TlIrPb2 after structural relaxation.

Geometry as extended XYZ:
```
4
Lattice="3.2828 0.0000 0.0000 0.0000 3.5481 0.0000 0.0000 0.0000 8.7708" Properties=species:S:1:pos:R:3 pbc="T T T"
Tl 0.0000 0.0000 0.0000
Ir 0.0000 0.0000 4.3854
Pb 1.6414 1.7740 2.6899
Pb 1.6414 1.7740 6.0809
```

Results
Excess energy over the best structure of this formula in the dataset = 0.0 kJ/mol of atoms
Space group = Pmmm, No. 47
Total energy = -0.164 hartree per atom
Formation enthalpy at 0 K = 0.188 eV/atom